## KAl2Pt (PBE)

Data for KAl2Pt after structural relaxation.

Cell: 4.3283 4.3283 6.7702 Å, 108.45 108.45 59.98°
Closest atoms and distances in Å follow each position.
Fractional coordinates of all 4 atoms:
1 K 0.0000 0.0000 0.0000  8 Al 3.62-3.67, 6 Pt 4.02-4.03
2 Al 0.1914 0.1914 0.5749  3 Pt 2.54, 3 Al 2.67
3 Al 0.8086 0.8086 0.4251  3 Pt 2.54, 3 Al 2.67
4 Pt 0.5000 0.5000 0.5000  6 Al 2.54

Values from the calculation:
SG = C2/m, No. 12
magnetization = 0.0 μB per formula unit
energy of formation = -0.530 eV/atom
uncorrected energy = -4.186 eV/atom
DOS(E_F) = 0.189 states/eV per atom
calculated density = 4.7 Mg/m³